1.
Density functional theory data (GGA+U) for an optimized crystal structure of CsGaCoF6.

It has space group Imma (No. 74), with a = 7.3744 Å, b = 7.4453 Å, c = 10.5307 Å, α = 90.00°, β = 90.00° and γ = 90.00°. The asymmetric unit holds Cs at (0.0000, 0.2500, 0.1213), Ga at (0.0000, 0.0000, 0.5000), Co at (0.2500, 0.2500, 0.7500), F at (0.0000, 0.2500, 0.4404), F at (0.0000, 0.2500, 0.8264) and F at (0.1848, 0.0470, 0.6216).

For the final energy, the calculation gives -4.8239 eV/atom. The calculation puts the total magnetization at 12.00 Bohr magnetons per cell. For the volume, the calculation gives 578.18 Å³ per cell. The value obtained for the calculated density is 4.3 Mg/m³.

***

2.
Density functional theory data (GGA+U) for an optimized crystal structure of Cs2CoH2F6.

It has space group C2/m (No. 12), with a = 10.2691 Å, b = 6.0753 Å, c = 6.9150 Å, α = 90.00°, β = 124.40° and γ = 90.00°. The asymmetric unit holds Cs at (0.2334, 0.0000, 0.2015), Co at (0.0000, 0.0000, 0.5000), H at (0.0971, 0.5000, 0.2473), F at (0.0113, 0.2250, 0.3136) and F at (0.1766, 0.5000, 0.2147).

For the final energy, the calculation gives -4.2979 eV/atom. The calculation puts the total magnetization at 2.00 Bohr magnetons per cell. For the volume, the calculation gives 355.95 Å³ per cell. The value obtained for the calculated density is 4.1 Mg/m³.

***

3.
Density functional theory data (GGA+U) for an optimized crystal structure of CsCoHF6.

It has space group P1 (No. 1), with a = 4.7748 Å, b = 5.6245 Å, c = 5.8859 Å, α = 78.51°, β = 79.74° and γ = 67.59°. The asymmetric unit holds Cs at (0.0000, 0.0000, 0.0000), Co at (0.5056, 0.4838, 0.4809), H at (0.8842, 0.6438, 0.6220), F at (0.0914, 0.7110, 0.5619), F at (0.3796, 0.3832, 0.2660), F at (0.4310, 0.2534, 0.7147), F at (0.5569, 0.7485, 0.2781), F at (0.6657, 0.6013, 0.7007) and F at (0.8808, 0.2721, 0.4177).

For the final energy, the calculation gives -4.1986 eV/atom. The calculation puts the total magnetization at 1.00 Bohr magnetons per cell. For the volume, the calculation gives 142.29 Å³ per cell. The value obtained for the calculated density is 3.6 Mg/m³.

***

4.
Density functional theory data (GGA+U) for an optimized crystal structure of Cs2HfCoF6.

It has space group I4/mmm (No. 139), with a = 6.7011 Å, b = 6.7011 Å, c = 10.0695 Å, α = 90.00°, β = 90.00° and γ = 90.00°. The asymmetric unit holds Cs at (0.0000, 0.5000, 0.2500), Hf at (0.0000, 0.0000, 0.0000), Co at (0.0000, 0.0000, 0.5000), F at (0.0000, 0.0000, 0.2001) and F at (0.2118, 0.2118, 0.0000).

For the final energy, the calculation gives -5.5282 eV/atom. The calculation puts the total magnetization at 6.00 Bohr magnetons per cell. For the volume, the calculation gives 452.17 Å³ per cell. The value obtained for the calculated density is 4.5 Mg/m³.

***

5.
Density functional theory data (GGA+U) for an optimized crystal structure of CsCoHgF6.

It has space group Imma (No. 74), with a = 7.4582 Å, b = 7.7964 Å, c = 10.3270 Å, α = 90.00°, β = 90.00° and γ = 90.00°. The asymmetric unit holds Cs at (0.0000, 0.2500, 0.1012), Co at (0.2500, 0.2500, 0.7500), Hg at (0.0000, 0.0000, 0.5000), F at (0.0000, 0.2500, 0.3952), F at (0.0000, 0.2500, 0.7074) and F at (0.2278, 0.0812, 0.8762).

For the final energy, the calculation gives -3.9086 eV/atom. The calculation puts the total magnetization at 0.03 Bohr magnetons per cell. For the volume, the calculation gives 600.48 Å³ per cell. The value obtained for the calculated density is 5.6 Mg/m³.

***

6.
Density functional theory data (GGA+U) for an optimized crystal structure of CsCoHg2F8.

It has space group P-1 (No. 2), with a = 5.1260 Å, b = 5.3973 Å, c = 8.2820 Å, α = 79.30°, β = 86.89° and γ = 89.94°. The asymmetric unit holds Cs at (0.0000, 0.0000, 0.0000), Co at (0.0000, 0.0000, 0.5000), Hg at (0.4357, 0.4692, 0.2934), F at (0.1079, 0.7513, 0.6712), F at (0.1785, 0.8582, 0.3443), F at (0.3213, 0.2422, 0.5154) and F at (0.4811, 0.2944, 0.9242).

For the final energy, the calculation gives -3.5807 eV/atom. The calculation puts the total magnetization at 2.00 Bohr magnetons per cell. For the volume, the calculation gives 224.81 Å³ per cell. The value obtained for the calculated density is 5.5 Mg/m³.

***

7.
Density functional theory data (GGA+U) for an optimized crystal structure of Cs2Co3HgF12.

It has space group R-3m (No. 166, hexagonal axes), with a = 7.4782 Å, b = 7.4782 Å, c = 18.4890 Å, α = 90.00°, β = 90.00° and γ = 120.00°. The asymmetric unit holds Cs at (0.0000, 0.0000, 0.1153), Co at (0.0000, 0.5000, 0.0000), Hg at (0.0000, 0.0000, 0.5000), F at (0.0186, 0.5093, 0.1046) and F at (0.0800, 0.5400, 0.3378).

For the final energy, the calculation gives -4.2969 eV/atom. The calculation puts the total magnetization at 20.74 Bohr magnetons per cell. For the volume, the calculation gives 895.44 Å³ per cell. The value obtained for the calculated density is 4.8 Mg/m³.

***

8.
Density functional theory data (GGA+U) for an optimized crystal structure of CsHoCoF6.

It has space group Imma (No. 74), with a = 7.5245 Å, b = 7.8039 Å, c = 10.4464 Å, α = 90.00°, β = 90.00° and γ = 90.00°. The asymmetric unit holds Cs at (0.0000, 0.2500, 0.0981), Ho at (0.0000, 0.0000, 0.5000), Co at (0.2500, 0.2500, 0.7500), F at (0.0000, 0.2500, 0.4016), F at (0.0000, 0.2500, 0.6741) and F at (0.2477, 0.0552, 0.6159).

For the final energy, the calculation gives -5.5652 eV/atom. The calculation puts the total magnetization at 12.00 Bohr magnetons per cell. For the volume, the calculation gives 613.41 Å³ per cell. The value obtained for the calculated density is 5.1 Mg/m³.